# 1
# KHfNi2

A geometry-optimized KHfNi2 structure (PBE, Alexandria).

Lattice parameters (Å, degrees): 7.312 7.312 6.446 90.00 90.00 90.00
Space group I-42d (No. 122)
One atom of each set of equivalent atoms:
K  0.000  0.000  0.000 (multiplicity 4)
Hf  0.000  0.000  0.500 (multiplicity 4)
Ni  0.201  0.250  0.625 (multiplicity 8)

Summary:
Crystal system: tetragonal
Energy above the lowest structure with this stoichiometry, meV/atom: 89
DFT formation energy, meV/atom: 725

=====

# 2
# KHf2Ni

A geometry-optimized KHf2Ni structure (PBE, Alexandria).

Lattice parameters (Å, degrees): 5.975 5.975 15.445 90.00 90.00 90.00
Space group I4_1/amd (No. 141, origin choice 2)
One atom of each set of equivalent atoms:
K  0.000  0.250  0.375 (multiplicity 4)
Hf  0.000  0.000  0.000 (multiplicity 8)
Ni  0.000  0.250  0.875 (multiplicity 4)

Summary:
Crystal system: tetragonal
Energy above the lowest structure with this stoichiometry, meV/atom: 179
DFT formation energy, meV/atom: 1108